# 1
# Tm3Sc3FeBi2

Crystalline Tm3Sc3FeBi2 at its relaxed geometry (PBE, OQMD via LeMat-Bulk).

Lattice parameters (Å, degrees): 8.0753 8.0753 3.9602 90.00 90.00 120.00
Last column: nearest neighbours and their distance in Å.
Space group P-62m (No. 189)
Asymmetric unit:
Tm1 0.0000 0.2351 0.0000  2 Fe 2.74
Sc1 0.0000 0.6163 0.5000  1 Fe 3.10, 4 Bi 3.20, 4 Tm 3.35
Fe1 0.0000 0.0000 0.5000  6 Tm 2.74
Bi1 0.3333 0.6667 0.0000  3 Tm 3.16, 6 Sc 3.20

=====

# 2
# InGa2Mo2

Crystalline InGa2Mo2 at its relaxed geometry (PBE, OQMD via LeMat-Bulk).

Lattice parameters (Å, degrees): 3.8871 3.8871 11.9724 90.00 90.00 90.00
Last column: nearest neighbours and their distance in Å.
Space group I4/mmm (No. 139)
Asymmetric unit:
In1 0.0000 0.0000 0.0000  8 Ga 3.00
Ga1 0.0000 0.0000 0.3994  1 Ga 2.41, 4 Mo 2.64
Mo1 0.0000 0.5000 0.2500  4 Ga 2.64, 4 Mo 2.75

=====

Number 1: E_tot -5.80 eV per atom, magnetic moment 0.081 μB/atom. Number 2: E_tot -5.74 eV per atom, magnetic moment 0.001 μB/atom.